Entry 1:
Entry from Alexandria: a geometry-optimized SbTe2Ru structure (PBE-GGA). Values from VASP.

Structure (Quantum ESPRESSO input):
```
&SYSTEM
  ibrav = 0, nat = 4, ntyp = 3
/
ATOMIC_SPECIES
Ru 101.07 Ru.upf
Sb 121.76 Sb.upf
Te 127.60 Te.upf
CELL_PARAMETERS angstrom
-0.828 2.655 -6.303
-5.503 -0.155 -4.142
3.001 1.575 5.998
ATOMIC_POSITIONS crystal
Ru 0.250 0.750 0.500
Sb 0.750 0.250 0.500
Te 0.079 0.079 0.000
Te 0.421 0.421 0.000
```

Results
Energy relative to the elements, uncorrected, meV per atom: 147
Space-group type: Immm (71)
Electronic total energy, eV per atom: -4.7735

Entry 2:
Entry from Alexandria: a geometry-optimized KCaCd structure (PBE-GGA). Values from VASP.

Structure (Quantum ESPRESSO input):
```
&SYSTEM
  ibrav = 0, nat = 6, ntyp = 3
/
ATOMIC_SPECIES
K 39.10 K.upf
Cd 112.41 Cd.upf
Ca 40.08 Ca.upf
CELL_PARAMETERS angstrom
5.197 0.000 0.000
0.000 5.197 0.000
0.000 0.000 9.342
ATOMIC_POSITIONS crystal
K 0.000 0.500 0.867
K 0.500 0.000 0.133
Cd 0.000 0.500 0.280
Cd 0.500 0.000 0.720
Ca 0.500 0.500 0.500
Ca 0.000 0.000 0.500
```

Results
Calculated formation energy, eV/atom: -0.08
Space-group type: P4/nmm (129)
Electronic total energy, eV per atom: -1.4133

Entry 3:
Entry from Alexandria: a geometry-optimized Dy2TaSi4Ir3 structure (PBE-GGA). Values from VASP.

Structure (Quantum ESPRESSO input):
```
&SYSTEM
  ibrav = 0, nat = 10, ntyp = 4
/
ATOMIC_SPECIES
Dy 162.50 Dy.upf
Ta 180.95 Ta.upf
Si 28.09 Si.upf
Ir 192.22 Ir.upf
CELL_PARAMETERS angstrom
-2.328 0.637 3.285
2.583 -2.202 2.258
5.481 8.684 2.202
ATOMIC_POSITIONS crystal
Dy 0.500 0.000 0.241
Dy 0.000 0.500 0.759
Ta 0.500 0.500 0.500
Si 0.500 0.500 0.000
Si 0.000 0.000 0.000
Si 0.500 0.000 0.650
Si 0.000 0.500 0.350
Ir 0.000 0.000 0.500
Ir 0.500 0.000 0.877
Ir 0.000 0.500 0.123
```

Results
Energy relative to the elements, uncorrected, meV per atom: -884
Space-group type: P-4m2 (115)
Electronic total energy, eV per atom: -7.8172

Entry 4:
Entry from Alexandria: a geometry-optimized NaBe4P3O12 structure (PBE-GGA). Values from VASP.

Structure (Quantum ESPRESSO input):
```
&SYSTEM
  ibrav = 0, nat = 20, ntyp = 4
/
ATOMIC_SPECIES
Na 22.99 Na.upf
Be 9.01 Be.upf
P 30.97 P.upf
O 16.00 O.upf
CELL_PARAMETERS angstrom
5.864 -0.156 -0.217
-1.564 5.654 -0.217
-1.564 -2.000 5.292
ATOMIC_POSITIONS crystal
Na 0.000 0.000 0.000
Be 0.931 0.069 0.500
Be 0.069 0.500 0.931
Be 0.500 0.931 0.069
Be 0.500 0.500 0.500
P 0.559 0.441 0.000
P 0.441 0.000 0.559
P 0.000 0.559 0.441
O 0.500 0.333 0.667
O 0.901 0.500 0.099
O 0.099 0.901 0.500
O 0.500 0.099 0.901
O 0.368 0.969 0.261
O 0.261 0.368 0.969
O 0.969 0.261 0.368
O 0.632 0.739 0.031
O 0.031 0.632 0.739
O 0.739 0.031 0.632
O 0.667 0.500 0.333
O 0.333 0.667 0.500
```

Results
Energy relative to the elements, uncorrected, meV per atom: -2132
Space-group type: R32 (155)
Electronic total energy, eV per atom: -6.7297

Entry 5:
Entry from Alexandria: a geometry-optimized LaTb8Ho4 structure (PBE-GGA). Values from VASP.

Structure (Quantum ESPRESSO input):
```
&SYSTEM
  ibrav = 0, nat = 13, ntyp = 3
/
ATOMIC_SPECIES
La 138.91 La.upf
Tb 158.93 Tb.upf
Ho 164.93 Ho.upf
CELL_PARAMETERS angstrom
-8.902 -4.542 0.020
-4.236 -7.784 4.620
-7.443 -1.490 6.500
ATOMIC_POSITIONS crystal
La 0.500 0.500 0.500
Tb 0.781 0.781 0.781
Tb 0.219 0.219 0.219
Tb 0.250 0.250 0.803
Tb 0.197 0.750 0.750
Tb 0.750 0.750 0.197
Tb 0.750 0.197 0.750
Tb 0.250 0.803 0.250
Tb 0.803 0.250 0.250
Ho 0.000 0.000 0.000
Ho 0.500 0.500 0.000
Ho 0.500 0.000 0.500
Ho 0.000 0.500 0.500
```

Results
Calculated formation energy, eV/atom: 0.18
Space-group type: R-3m (166)
Electronic total energy, eV per atom: -4.4576

Entry 6:
Entry from Alexandria: a geometry-optimized Mg6GaAu3 structure (PBE-GGA). Values from VASP.

Structure (Quantum ESPRESSO input):
```
&SYSTEM
  ibrav = 0, nat = 20, ntyp = 3
/
ATOMIC_SPECIES
Mg 24.30 Mg.upf
Ga 69.72 Ga.upf
Au 196.97 Au.upf
CELL_PARAMETERS angstrom
4.760 0.000 0.000
0.000 7.821 -2.494
0.000 0.125 10.151
ATOMIC_POSITIONS crystal
Mg 0.250 0.460 0.085
Mg 0.750 0.540 0.915
Mg 0.250 0.145 0.186
Mg 0.750 0.855 0.814
Mg 0.250 0.648 0.682
Mg 0.750 0.352 0.318
Mg 0.250 0.263 0.508
Mg 0.750 0.737 0.492
Mg 0.250 0.824 0.292
Mg 0.750 0.176 0.708
Mg 0.250 0.085 0.886
Mg 0.750 0.915 0.114
Ga 0.250 0.951 0.594
Ga 0.750 0.049 0.406
Au 0.250 0.523 0.378
Au 0.750 0.477 0.622
Au 0.250 0.373 0.795
Au 0.750 0.627 0.205
Au 0.250 0.786 0.975
Au 0.750 0.214 0.025
```

Results
Calculated formation energy, eV/atom: -0.42
Space-group type: P2_1/m (11)
Electronic total energy, eV per atom: -2.6657